[1]
DFT (GGA-PBE) results for a geometry-optimized SrLiTc2 structure.

Geometry as CIF:
```
data_SrLiTc2
_chemical_formula_sum 'Sr1 Li1 Tc2'
_space_group_name_H-M_alt 'P 4 m m'
_space_group_IT_number 99
_space_group_name_Hall 'P 4 -2'
_cell_length_a 3.1890
_cell_length_b 3.1890
_cell_length_c 7.9261
_cell_angle_alpha 90.00
_cell_angle_beta 90.00
_cell_angle_gamma 90.00
loop_
_atom_site_label
_atom_site_fract_x
_atom_site_fract_y
_atom_site_fract_z
Sr1 0.0000 0.0000 0.0000
Li1 0.5000 0.5000 0.6564
Tc1 0.0000 0.0000 0.4531
Tc2 0.5000 0.5000 0.2993
```

Output
- Energy of formation from the pure elements: 0.367 eV/atom
- Total magnetic moment: 0.0 Bohr magnetons per cell
- ΔE to the lowest computed polymorph: 0 meV per atom

=====

[2]
DFT (GGA-PBE) results for a geometry-optimized ZnInMo2 structure.

Geometry as CIF:
```
data_ZnInMo2
_chemical_formula_sum 'Zn3 In3 Mo6'
_space_group_name_H-M_alt 'R -3 m'
_space_group_IT_number 166
_space_group_name_Hall '-R 3 2"'
_cell_length_a 2.9147
_cell_length_b 2.9147
_cell_length_c 27.7620
_cell_angle_alpha 90.00
_cell_angle_beta 90.00
_cell_angle_gamma 120.00
loop_
_atom_site_label
_atom_site_fract_x
_atom_site_fract_y
_atom_site_fract_z
Zn1 0.0000 0.0000 0.0000
In1 0.0000 0.0000 0.5000
Mo1 0.0000 0.0000 0.2537
```

Output
- Energy of formation from the pure elements: 0.423 eV/atom
- Total magnetic moment: 0.0 Bohr magnetons per cell
- ΔE to the lowest computed polymorph: 270 meV per atom

=====

[3]
DFT (GGA-PBE) results for a geometry-optimized AsOs structure.

Geometry as CIF:
```
data_AsOs
_chemical_formula_sum 'As6 Os6'
_space_group_name_H-M_alt 'P -3 m 1'
_space_group_IT_number 164
_space_group_name_Hall '-P 3 2"'
_cell_length_a 4.2602
_cell_length_b 4.2602
_cell_length_c 13.4469
_cell_angle_alpha 90.00
_cell_angle_beta 90.00
_cell_angle_gamma 120.00
loop_
_atom_site_label
_atom_site_fract_x
_atom_site_fract_y
_atom_site_fract_z
As1 0.0000 0.0000 0.1916
As2 0.3333 0.6667 0.0630
As3 0.3333 0.6667 0.4251
Os1 0.0000 0.0000 0.3799
Os2 0.3333 0.6667 0.6799
Os3 0.3333 0.6667 0.8614
```

Output
- Energy of formation from the pure elements: 0.312 eV/atom
- Total magnetic moment: 0.0 Bohr magnetons per cell

=====

[4]
DFT (GGA-PBE) results for a geometry-optimized GdThMgRu structure.

Geometry as CIF:
```
data_GdThMgRu
_chemical_formula_sum 'Gd4 Th4 Mg4 Ru4'
_space_group_name_H-M_alt 'F -4 3 m'
_space_group_IT_number 216
_space_group_name_Hall 'F -4 2 3'
_cell_length_a 7.2620
_cell_length_b 7.2620
_cell_length_c 7.2620
_cell_angle_alpha 90.00
_cell_angle_beta 90.00
_cell_angle_gamma 90.00
loop_
_atom_site_label
_atom_site_fract_x
_atom_site_fract_y
_atom_site_fract_z
Gd1 0.0000 0.0000 0.0000
Th1 0.0000 0.0000 0.5000
Mg1 0.2500 0.2500 0.2500
Ru1 0.2500 0.2500 0.7500
```

Output
- Energy of formation from the pure elements: -0.112 eV/atom
- Total magnetic moment: 27.9 Bohr magnetons per cell

=====

[5]
DFT (GGA-PBE) results for a geometry-optimized CaHo3Cd2 structure.

Geometry as CIF:
```
data_CaHo3Cd2
_chemical_formula_sum 'Ca2 Ho6 Cd4'
_space_group_name_H-M_alt 'P m c 21'
_space_group_IT_number 26
_space_group_name_Hall 'P 2c -2'
_cell_length_a 5.2302
_cell_length_b 9.5087
_cell_length_c 6.9161
_cell_angle_alpha 90.00
_cell_angle_beta 90.00
_cell_angle_gamma 90.00
loop_
_atom_site_label
_atom_site_fract_x
_atom_site_fract_y
_atom_site_fract_z
Ca1 0.0000 0.0450 0.0000
Ho1 0.0000 0.3254 0.6489
Ho2 0.5000 0.1826 0.3045
Ho3 0.5000 0.4542 0.9555
Cd1 0.0000 0.3544 0.2013
Cd2 0.5000 0.1513 0.7527
```

Output
- Energy of formation from the pure elements: -0.193 eV/atom
- Total magnetic moment: 0.0 Bohr magnetons per cell
- ΔE to the lowest computed polymorph: 0 meV per atom